Entry 1:
DFT (GGA-PBE) results for a relaxed structure of Y2MnBePd6.

Calculated values
Energy relative to the elements (eV/f.u.): -3.92

Cell lengths 6.412, 6.412, 9.047 Å; angles 90.00, 90.00, 90.00 degrees
Space group I4/mmm (No. 139)
One atom of each set of equivalent atoms:
Y 0.000 0.500 0.250 [4 per cell]
Mn 0.000 0.000 0.000 [2 per cell]
Be 0.000 0.000 0.500 [2 per cell]
Pd 0.000 0.000 0.267 [4 per cell]
Pd 0.233 0.233 0.500 [8 per cell]

Entry 2:
DFT (GGA-PBE) results for a relaxed structure of MgHgN2F.

Calculated values
Energy above the most stable polymorph in this dataset (eV per atom): 0.543
Uncorrected formation energy (eV/atom): 0.95

Cell lengths 4.166, 4.166, 4.652 Å; angles 90.00, 90.00, 90.00 degrees
Space group P4/mmm (No. 123)
One atom of each set of equivalent atoms:
Mg 0.000 0.000 0.000 [1 per cell]
Hg 0.500 0.500 0.500 [1 per cell]
N 0.000 0.500 0.500 [2 per cell]
F 0.500 0.500 0.000 [1 per cell]

Entry 3:
DFT (GGA-PBE) results for a relaxed structure of FePbAu2.

Calculated values
Energy relative to the elements (eV/f.u.): 1.29

Cell lengths 3.187, 5.003, 9.853 Å; angles 90.00, 90.00, 90.00 degrees
Space group Imm2 (No. 44)
One atom of each set of equivalent atoms:
Fe 0.000 0.000 0.000 [2 per cell]
Pb 0.000 0.500 0.747 [2 per cell]
Au 0.000 0.000 0.524 [2 per cell]
Au 0.000 0.500 0.283 [2 per cell]

Entry 4:
DFT (GGA-PBE) results for a relaxed structure of Tb3Sm3Th4.

Calculated values
Energy relative to the elements (eV/f.u.): 2.28

Cell lengths 4.024, 12.930, 12.968 Å; angles 90.00, 90.00, 90.00 degrees
Space group Amm2 (No. 38)
One atom of each set of equivalent atoms:
Tb 0.000 0.000 0.000 [2 per cell]
Tb 0.500 0.249 0.087 [4 per cell]
Sm 0.000 0.000 0.674 [2 per cell]
Sm 0.000 0.163 0.338 [4 per cell]
Th 0.500 0.000 0.204 [2 per cell]
Th 0.500 0.000 0.471 [2 per cell]
Th 0.500 0.133 0.837 [4 per cell]

Entry 5:
DFT (GGA-PBE) results for a relaxed structure of Y3GeH.

Calculated values
Energy above the most stable polymorph in this dataset (eV per atom): 0.090

Cell lengths 4.711, 4.711, 4.711 Å; angles 90.00, 90.00, 90.00 degrees
Space group Pm-3m (No. 221)
One atom of each set of equivalent atoms:
Y 0.000 0.000 0.500 [3 per cell]
Ge 0.500 0.500 0.500 [1 per cell]
H 0.000 0.000 0.000 [1 per cell]

Entry 6:
DFT (GGA-PBE) results for a relaxed structure of AcAg6Hg2.

Calculated values
Energy relative to the elements (eV/f.u.): 2.30
Energy above the most stable polymorph in this dataset (eV per atom): 0.000

Cell lengths 12.584, 12.584, 12.584 Å; angles 90.00, 90.00, 90.00 degrees
Space group Fd-3m (No. 227, origin choice 2)
One atom of each set of equivalent atoms:
Ac 0.125 0.125 0.125 [8 per cell]
Ag 0.120 0.375 0.375 [48 per cell]
Hg 0.000 0.000 0.500 [16 per cell]

Entry 7:
DFT (GGA-PBE) results for a relaxed structure of ScNbReRu.

Calculated values
Energy relative to the elements (eV/f.u.): -1.29

Cell lengths 6.403, 6.403, 6.403 Å; angles 90.00, 90.00, 90.00 degrees
Space group F-43m (No. 216)
One atom of each set of equivalent atoms:
Sc 0.000 0.000 0.000 [4 per cell]
Nb 0.000 0.000 0.500 [4 per cell]
Re 0.250 0.250 0.750 [4 per cell]
Ru 0.250 0.250 0.250 [4 per cell]

Entry 8:
DFT (GGA-PBE) results for a relaxed structure of GaAuSe.

Calculated values
Uncorrected formation energy (eV/atom): -0.19

Cell lengths 3.7431, 3.7431, 4.9774 Å; angles 90.00, 90.00, 120.00 degrees
Space group P3m1 (No. 156)
One atom of each set of equivalent atoms:
Ga 0.0000 0.0000 0.0000 [1 per cell]
Au 0.3333 0.6667 0.6871 [1 per cell]
Se 0.6667 0.3333 0.3100 [1 per cell]